The following is a PBE-GGA calculation of crystalline ZrMnB4 at its relaxed geometry, from Alexandria.

Summary:
ΔE_f = -4.19 eV per formula unit
density of states at the Fermi level = 10.36 states/eV per cell
space group = Pbam, No. 55

Lattice parameters (Å, degrees): 5.790 11.191 3.296 90.00 90.00 90.00
Positions (direct):
Zr  0.128  0.149  0.000
Zr  0.372  0.649  0.000
Zr  0.628  0.351  0.000
Zr  0.872  0.851  0.000
Mn  0.131  0.411  0.000
Mn  0.369  0.911  0.000
Mn  0.631  0.089  0.000
Mn  0.869  0.589  0.000
B  0.024  0.693  0.500
B  0.114  0.547  0.500
B  0.135  0.968  0.500
B  0.213  0.814  0.500
B  0.287  0.314  0.500
B  0.365  0.468  0.500
B  0.386  0.047  0.500
B  0.476  0.193  0.500
B  0.524  0.807  0.500
B  0.614  0.953  0.500
B  0.635  0.532  0.500
B  0.713  0.686  0.500
B  0.787  0.186  0.500
B  0.865  0.032  0.500
B  0.886  0.453  0.500
B  0.976  0.307  0.500